The following is a GGA-PBE calculation of a relaxed structure of SiH3S, from Alexandria.

```
data_SiH3S
_symmetry_space_group_name_H-M 'P m -3 m'
_symmetry_Int_Tables_number 221
_symmetry_space_group_name_Hall '-P 4 2 3'
_cell_length_a 3.518
_cell_length_b 3.518
_cell_length_c 3.518
_cell_angle_alpha 90.00
_cell_angle_beta 90.00
_cell_angle_gamma 90.00
loop_
_atom_site_label
_atom_site_type_symbol
_atom_site_fract_x
_atom_site_fract_y
_atom_site_fract_z
_atom_site_occupancy
Si1 Si 0.000 0.000 0.000 1
H1 H 0.000 0.000 0.500 1
S1 S 0.500 0.500 0.500 1
```

=====

# ScAgGe3, optimized geometry, DFT GGA-PBE
data_ScAgGe3
_symmetry_space_group_name_H-M 'P m -3 m'
_symmetry_Int_Tables_number 221
_symmetry_space_group_name_Hall '-P 4 2 3'
_cell_length_a 4.958
_cell_length_b 4.958
_cell_length_c 4.958
_cell_angle_alpha 90.00
_cell_angle_beta 90.00
_cell_angle_gamma 90.00
loop_
_atom_site_label
_atom_site_type_symbol
_atom_site_fract_x
_atom_site_fract_y
_atom_site_fract_z
_atom_site_occupancy
Sc1 Sc 0.000 0.000 0.000 1
Ag1 Ag 0.500 0.500 0.500 1
Ge1 Ge 0.000 0.500 0.500 1
# Energy of formation from the pure elements: 563 meV/atom

=====

Number 1: E above lowest polymorph 857 meV per atom. Number 2: E above lowest polymorph 0 meV per atom.